VASP calculation (PBE-GGA) on a geometry-optimized SmInAu2 structure.

- formation energy (eV per formula unit) = -2.25

```
data_SmInAu2
_cell_length_a 3.8304
_cell_length_b 4.8887
_cell_length_c 4.8887
_cell_angle_alpha 90.00
_cell_angle_beta 90.00
_cell_angle_gamma 90.00
_space_group_name_H-M_alt 'P 1'
_space_group_IT_number 1
loop_
_space_group_symop_operation_xyz
'x,y,z'
loop_
_atom_site_label
_atom_site_type_symbol
_atom_site_fract_x
_atom_site_fract_y
_atom_site_fract_z
Au1 Au 0.0000 0.5000 0.0000
Au2 Au 0.0000 0.0000 0.5000
Sm1 Sm 0.5000 0.5000 0.5000
In1 In 0.5000 0.0000 0.0000
```

***

VASP calculation (PBE-GGA) on a geometry-optimized LiTmF4 structure.

- ΔE_f (raw) (meV per atom) = -3733

```
data_LiTmF4
_cell_length_a 5.2678
_cell_length_b 5.3356
_cell_length_c 5.2443
_cell_angle_alpha 100.29
_cell_angle_beta 90.00
_cell_angle_gamma 90.00
_space_group_name_H-M_alt 'P 1'
_space_group_IT_number 1
loop_
_space_group_symop_operation_xyz
'x,y,z'
loop_
_atom_site_label
_atom_site_type_symbol
_atom_site_fract_x
_atom_site_fract_y
_atom_site_fract_z
F1 F 0.7534 0.3009 0.2441
F2 F 0.2466 0.6991 0.7559
F3 F 0.7596 0.6931 0.7580
F4 F 0.2404 0.3069 0.2420
F5 F 0.2596 0.8069 0.2420
F6 F 0.7466 0.8009 0.2441
F7 F 0.7404 0.1931 0.7580
F8 F 0.2534 0.1991 0.7559
Li1 Li 0.0000 0.5000 0.5000
Li2 Li 0.5000 0.0000 0.5000
Tm1 Tm 0.5000 0.5000 0.0000
Tm2 Tm 0.0000 0.0000 0.0000
```